! GGA-PBE BaMn2Cu, relaxed; values from VASP
! * calculated formation energy: 65.2 kJ/mol of atoms
! * Fermi-level density of states: 3.90 states/eV per cell
! * space group: No. 71
! * uncorrected energy: -21.66 eV per cell
! * M_tot: 7.83 Bohr magnetons per cell
&SYSTEM
  ibrav = 0, nat = 4, ntyp = 3
/
ATOMIC_SPECIES
Ba 137.33 Ba.upf
Mn 54.94 Mn.upf
Cu 63.55 Cu.upf
CELL_PARAMETERS angstrom
-1.600 2.669 5.179
1.600 -2.669 5.179
1.600 2.669 -5.179
ATOMIC_POSITIONS angstrom
Ba 0.000 0.000 0.000
Mn 1.600 0.000 3.084
Mn 0.000 2.669 2.095
Cu 0.000 0.000 5.179


! GGA-PBE Ba2MnCu, relaxed; values from VASP
! * calculated formation energy: 61.4 kJ/mol of atoms
! * offset from the most stable computed form: 351 meV/atom
! * Fermi-level density of states: 7.76 states/eV per cell
! * space group: No. 122
! * uncorrected energy: -29.14 eV per cell
! * M_tot: 7.53 Bohr magnetons per cell
&SYSTEM
  ibrav = 0, nat = 8, ntyp = 3
/
ATOMIC_SPECIES
Ba 137.33 Ba.upf
Mn 54.94 Mn.upf
Cu 63.55 Cu.upf
CELL_PARAMETERS angstrom
-4.432 4.432 3.636
4.432 -4.432 3.636
4.432 4.432 -3.636
ATOMIC_POSITIONS angstrom
Ba 6.647 1.960 -0.909
Ba 1.960 2.216 0.909
Ba -2.216 2.471 2.727
Ba 2.471 2.216 4.545
Mn 4.432 0.000 1.818
Mn 0.000 0.000 3.636
Cu 0.000 0.000 0.000
Cu 0.000 4.432 1.818


! GGA-PBE BaMn2Cu, relaxed; values from VASP
! * calculated formation energy: 62.6 kJ/mol of atoms
! * Fermi-level density of states: 3.41 states/eV per cell
! * space group: No. 10
! * uncorrected energy: -21.76 eV per cell
! * M_tot: 8.14 Bohr magnetons per cell
&SYSTEM
  ibrav = 0, nat = 4, ntyp = 3
/
ATOMIC_SPECIES
Ba 137.33 Ba.upf
Mn 54.94 Mn.upf
Cu 63.55 Cu.upf
CELL_PARAMETERS angstrom
3.310 0.000 0.000
0.000 4.189 0.000
-1.591 0.000 6.695
ATOMIC_POSITIONS angstrom
Ba 0.000 0.000 0.000
Mn -0.044 2.095 4.407
Mn 1.763 2.095 2.288
Cu 0.860 0.000 3.347


! GGA-PBE BaMnCu3, relaxed; values from VASP
! * calculated formation energy: 159.0 kJ/mol of atoms
! * offset from the most stable computed form: 1258 meV/atom
! * Fermi-level density of states: 2.72 states/eV per cell
! * space group: No. 221
! * uncorrected energy: -15.14 eV per cell
! * M_tot: 5.06 Bohr magnetons per cell
&SYSTEM
  ibrav = 0, nat = 5, ntyp = 3
/
ATOMIC_SPECIES
Ba 137.33 Ba.upf
Mn 54.94 Mn.upf
Cu 63.55 Cu.upf
CELL_PARAMETERS angstrom
5.477 0.000 0.000
0.000 5.477 0.000
0.000 0.000 5.477
ATOMIC_POSITIONS angstrom
Ba 0.000 0.000 0.000
Mn 2.739 2.739 2.739
Cu 0.000 0.000 2.739
Cu 0.000 2.739 0.000
Cu 2.739 0.000 0.000


! GGA-PBE Ba2MnCu, relaxed; values from VASP
! * calculated formation energy: 52.9 kJ/mol of atoms
! * offset from the most stable computed form: 264 meV/atom
! * Fermi-level density of states: 4.65 states/eV per cell
! * space group: No. 119
! * uncorrected energy: -14.92 eV per cell
! * M_tot: 3.64 Bohr magnetons per cell
&SYSTEM
  ibrav = 0, nat = 4, ntyp = 3
/
ATOMIC_SPECIES
Ba 137.33 Ba.upf
Mn 54.94 Mn.upf
Cu 63.55 Cu.upf
CELL_PARAMETERS angstrom
-2.357 2.357 5.883
2.357 -2.357 5.883
2.357 2.357 -5.883
ATOMIC_POSITIONS angstrom
Ba 0.000 0.000 0.000
Ba 0.000 2.357 2.941
Mn 0.000 0.000 5.883
Cu 2.357 0.000 2.941


! GGA-PBE BaMn4Cu, relaxed; values from VASP
! * calculated formation energy: 71.7 kJ/mol of atoms
! * Fermi-level density of states: 6.63 states/eV per cell
! * space group: No. 216
! * uncorrected energy: -38.24 eV per cell
! * M_tot: 14.82 Bohr magnetons per cell
&SYSTEM
  ibrav = 0, nat = 6, ntyp = 3
/
ATOMIC_SPECIES
Ba 137.33 Ba.upf
Mn 54.94 Mn.upf
Cu 63.55 Cu.upf
CELL_PARAMETERS angstrom
0.000 3.861 3.861
3.861 0.000 3.861
3.861 3.861 0.000
ATOMIC_POSITIONS angstrom
Ba 0.000 0.000 0.000
Mn 2.915 2.915 2.915
Mn 4.806 4.806 2.915
Mn 4.806 2.915 4.806
Mn 2.915 4.806 4.806
Cu 5.791 5.791 5.791


! GGA-PBE BaMnCu2, relaxed; values from VASP
! * calculated formation energy: 62.0 kJ/mol of atoms
! * Fermi-level density of states: 3.32 states/eV per cell
! * space group: No. 119
! * uncorrected energy: -16.71 eV per cell
! * M_tot: 4.15 Bohr magnetons per cell
&SYSTEM
  ibrav = 0, nat = 4, ntyp = 3
/
ATOMIC_SPECIES
Ba 137.33 Ba.upf
Mn 54.94 Mn.upf
Cu 63.55 Cu.upf
CELL_PARAMETERS angstrom
-2.275 2.275 4.200
2.275 -2.275 4.200
2.275 2.275 -4.200
ATOMIC_POSITIONS angstrom
Ba 0.000 0.000 0.000
Mn 0.000 2.275 2.100
Cu 2.275 0.000 2.100
Cu 0.000 0.000 4.200


! GGA-PBE BaMn2Cu, relaxed; values from VASP
! * calculated formation energy: 69.4 kJ/mol of atoms
! * Fermi-level density of states: 3.23 states/eV per cell
! * space group: No. 44
! * uncorrected energy: -21.48 eV per cell
! * M_tot: 8.25 Bohr magnetons per cell
&SYSTEM
  ibrav = 0, nat = 4, ntyp = 3
/
ATOMIC_SPECIES
Ba 137.33 Ba.upf
Mn 54.94 Mn.upf
Cu 63.55 Cu.upf
CELL_PARAMETERS angstrom
-2.334 2.929 3.707
2.334 -2.929 3.707
2.334 2.929 -3.707
ATOMIC_POSITIONS angstrom
Ba 0.000 0.000 0.000
Mn 2.334 0.000 2.352
Mn 0.000 0.000 3.909
Cu 0.000 2.929 1.220


! GGA-PBE Ba2MnCu, relaxed; values from VASP
! * calculated formation energy: 38.8 kJ/mol of atoms
! * offset from the most stable computed form: 117 meV/atom
! * Fermi-level density of states: 3.43 states/eV per cell
! * space group: No. 65
! * uncorrected energy: -15.50 eV per cell
! * M_tot: 3.45 Bohr magnetons per cell
&SYSTEM
  ibrav = 0, nat = 4, ntyp = 3
/
ATOMIC_SPECIES
Ba 137.33 Ba.upf
Mn 54.94 Mn.upf
Cu 63.55 Cu.upf
CELL_PARAMETERS angstrom
4.031 -4.035 0.000
4.031 4.035 0.000
0.000 0.000 4.004
ATOMIC_POSITIONS angstrom
Ba 2.016 2.018 0.000
Ba 2.016 -2.018 0.000
Mn 0.000 0.000 2.002
Cu 4.031 0.000 2.002


! GGA-PBE Ba3MnCu, relaxed; values from VASP
! * calculated formation energy: 71.2 kJ/mol of atoms
! * Fermi-level density of states: 2.73 states/eV per cell
! * space group: No. 221
! * uncorrected energy: -15.35 eV per cell
! * M_tot: 0.00 Bohr magnetons per cell
&SYSTEM
  ibrav = 0, nat = 5, ntyp = 3
/
ATOMIC_SPECIES
Ba 137.33 Ba.upf
Mn 54.94 Mn.upf
Cu 63.55 Cu.upf
CELL_PARAMETERS angstrom
5.729 0.000 0.000
0.000 5.729 0.000
0.000 0.000 5.729
ATOMIC_POSITIONS angstrom
Ba 0.000 0.000 2.865
Ba 0.000 2.865 0.000
Ba 2.865 0.000 0.000
Mn 0.000 0.000 0.000
Cu 2.865 2.865 2.865


! GGA-PBE BaMn2Cu, relaxed; values from VASP
! * calculated formation energy: 86.9 kJ/mol of atoms
! * Fermi-level density of states: 4.15 states/eV per cell
! * space group: No. 12
! * uncorrected energy: -20.76 eV per cell
! * M_tot: 7.77 Bohr magnetons per cell
&SYSTEM
  ibrav = 0, nat = 4, ntyp = 3
/
ATOMIC_SPECIES
Ba 137.33 Ba.upf
Mn 54.94 Mn.upf
Cu 63.55 Cu.upf
CELL_PARAMETERS angstrom
2.982 -5.431 0.000
2.982 5.431 0.000
-1.689 0.000 2.720
ATOMIC_POSITIONS angstrom
Ba 0.000 0.000 0.000
Mn 0.647 2.716 1.360
Mn 0.647 -2.716 1.360
Cu 2.982 0.000 0.000


! GGA-PBE BaMnCu, relaxed; values from VASP
! * calculated formation energy: 34.3 kJ/mol of atoms
! * offset from the most stable computed form: 0 meV/atom
! * Fermi-level density of states: 3.43 states/eV per cell
! * space group: No. 187
! * uncorrected energy: -14.12 eV per cell
! * M_tot: 3.72 Bohr magnetons per cell
&SYSTEM
  ibrav = 0, nat = 3, ntyp = 3
/
ATOMIC_SPECIES
Ba 137.33 Ba.upf
Mn 54.94 Mn.upf
Cu 63.55 Cu.upf
CELL_PARAMETERS angstrom
4.409 0.000 0.000
-2.204 3.818 0.000
0.000 0.000 4.852
ATOMIC_POSITIONS angstrom
Ba 0.000 0.000 0.000
Mn 0.000 2.545 2.426
Cu 2.204 1.273 2.426


> Look up the calculated formation energy of the ninth one.

38.8 kJ/mol of atoms